[1]
DFT (PBE) results for crystalline Fe2Re5Pd at its relaxed geometry.

Energy relative to the elements   35.6 meV/atom
Energy   -167.24 eV per cell

abc: 4.3061 5.4086 9.4001
angles: 90.00 90.00 90.00
Space group Amm2 (No. 38)
Unique sites:
Fe: 0.0000 0.0000 0.0000 (multiplicity 2)
Fe: 0.5000 0.0000 0.3281 (multiplicity 2)
Re: 0.0000 0.0000 0.5023 (multiplicity 2)
Re: 0.0000 0.2412 0.2521 (multiplicity 4)
Re: 0.5000 0.2417 0.0860 (multiplicity 4)
Pd: 0.5000 0.0000 0.8388 (multiplicity 2)

[2]
DFT (PBE) results for crystalline Ta4C3S at its relaxed geometry.

Energy   -168.54 eV per cell

abc: 3.1971 3.1971 22.3809
angles: 90.00 90.00 120.00
Space group P6_3/mmc (No. 194)
Unique sites:
Ta: 0.0000 0.0000 0.1677 (multiplicity 4)
Ta: 0.3333 0.6667 0.0595 (multiplicity 4)
C: 0.0000 0.0000 0.0000 (multiplicity 2)
C: 0.3333 0.6667 0.6154 (multiplicity 4)
S: 0.3333 0.6667 0.2500 (multiplicity 2)

[3]
DFT (PBE) results for crystalline PmPuW at its relaxed geometry.

Energy relative to the elements   1346.1 meV/atom
Energy above the most stable polymorph in this dataset   0.000 eV per atom
Energy   -111.18 eV per cell

abc: 6.5170 6.5170 6.5170
angles: 90.00 90.00 90.00
Space group F-43m (No. 216)
Unique sites:
Pm: 0.0000 0.0000 0.0000 (multiplicity 4)
Pu: 0.2500 0.2500 0.2500 (multiplicity 4)
W: 0.0000 0.0000 0.5000 (multiplicity 4)

[4]
DFT (PBE) results for crystalline NiPd at its relaxed geometry.

Energy relative to the elements   40.5 meV/atom
Energy   -21.32 eV per cell

abc: 4.2872 2.7827 4.4309
angles: 90.00 90.00 90.00
Space group Pmma (No. 51)
Unique sites:
Ni: 0.2500 0.0000 0.1837 (multiplicity 2)
Pd: 0.2500 0.5000 0.6958 (multiplicity 2)

[5]
DFT (PBE) results for crystalline YHoSc at its relaxed geometry.

Energy relative to the elements   694.0 meV/atom
Energy above the most stable polymorph in this dataset   0.000 eV per atom
Energy   -61.15 eV per cell

abc: 7.4033 7.4033 7.4033
angles: 90.00 90.00 90.00
Space group F-43m (No. 216)
Unique sites:
Y: 0.0000 0.0000 0.0000 (multiplicity 4)
Ho: 0.0000 0.0000 0.5000 (multiplicity 4)
Sc: 0.2500 0.2500 0.7500 (multiplicity 4)

[6]
DFT (PBE) results for crystalline GdDy2PdPt2Pb3 at its relaxed geometry.

Energy   -99.30 eV per cell

abc: 3.9644 13.4753 7.7531
angles: 90.00 90.00 90.00
Space group Amm2 (No. 38)
Unique sites:
Gd: 0.0000 0.0000 0.0000 (multiplicity 2)
Dy: 0.0000 0.2033 0.3901 (multiplicity 4)
Pd: 0.0000 0.0000 0.5921 (multiplicity 2)
Pt: 0.5000 0.1678 0.0942 (multiplicity 4)
Pb: 0.5000 0.0000 0.3314 (multiplicity 2)
Pb: 0.5000 0.1308 0.7242 (multiplicity 4)

[7]
DFT (PBE) results for crystalline GdMg2S3 at its relaxed geometry.

Energy   -29.50 eV per cell

abc: 3.7322 3.7322 9.5061
angles: 90.00 90.00 120.00
Space group P-3m1 (No. 164)
Unique sites:
Gd: 0.0000 0.0000 0.0000 (multiplicity 1)
Mg: 0.3333 0.6667 0.6576 (multiplicity 2)
S: 0.0000 0.0000 0.5000 (multiplicity 1)
S: 0.3333 0.6667 0.1884 (multiplicity 2)

[8]
DFT (PBE) results for crystalline GdScNO at its relaxed geometry.

Energy above the most stable polymorph in this dataset   0.000 eV per atom
Energy   -66.66 eV per cell

abc: 4.7811 4.7811 4.6298
angles: 90.00 90.00 90.00
Space group P4/nmm (No. 129, origin choice 2)
Unique sites:
Gd: 0.2500 0.7500 0.0000 (multiplicity 2)
Sc: 0.2500 0.2500 0.4995 (multiplicity 2)
N: 0.2500 0.2500 0.0014 (multiplicity 2)
O: 0.2500 0.7500 0.5000 (multiplicity 2)

[9]
DFT (PBE) results for crystalline BeAgAsPt at its relaxed geometry.

Energy above the most stable polymorph in this dataset   0.157 eV per atom
Energy   -64.81 eV per cell

abc: 6.2943 6.2943 6.2943
angles: 90.00 90.00 90.00
Space group F-43m (No. 216)
Unique sites:
Be: 0.0000 0.0000 0.0000 (multiplicity 4)
Ag: 0.0000 0.0000 0.5000 (multiplicity 4)
As: 0.2500 0.2500 0.7500 (multiplicity 4)
Pt: 0.2500 0.2500 0.2500 (multiplicity 4)

[10]
DFT (PBE) results for crystalline MgHgTeO at its relaxed geometry.

Energy above the most stable polymorph in this dataset   0.599 eV per atom
Energy   -24.25 eV per cell

abc: 3.8836 3.8836 11.1891
angles: 90.00 90.00 90.00
Space group P4/nmm (No. 129, origin choice 2)
Unique sites:
Mg: 0.2500 0.2500 0.1024 (multiplicity 2)
Hg: 0.2500 0.7500 0.5000 (multiplicity 2)
Te: 0.2500 0.2500 0.7443 (multiplicity 2)
O: 0.2500 0.2500 0.9333 (multiplicity 2)

[11]
DFT (PBE) results for crystalline CsHf2Br9 at its relaxed geometry.

Energy   -107.40 eV per cell

abc: 10.0590 6.7531 13.1048
angles: 90.00 112.86 90.00
Space group P2/c (No. 13)
Unique sites:
Cs: 0.0000 0.0933 0.2500 (multiplicity 2)
Hf: 0.3242 0.2464 0.6317 (multiplicity 4)
Br: 0.1079 0.3983 0.6541 (multiplicity 4)
Br: 0.2055 0.0804 0.0545 (multiplicity 4)
Br: 0.2960 0.4051 0.4523 (multiplicity 4)
Br: 0.4126 0.0917 0.8435 (multiplicity 4)
Br: 0.5000 0.4549 0.2500 (multiplicity 2)

[12]
DFT (PBE) results for crystalline Rb2Gd2SO3 at its relaxed geometry.

Energy   -49.35 eV per cell

abc: 3.6358 3.6358 13.6552
angles: 90.00 90.00 120.00
Space group P3m1 (No. 156)
Unique sites:
Rb: 0.0000 0.0000 0.0000 (multiplicity 1)
Rb: 0.3333 0.6667 0.5316 (multiplicity 1)
Gd: 0.6667 0.3333 0.2957 (multiplicity 1)
Gd: 0.6667 0.3333 0.7637 (multiplicity 1)
S: 0.3333 0.6667 0.1707 (multiplicity 1)
O: 0.0000 0.0000 0.3738 (multiplicity 1)
O: 0.0000 0.0000 0.6784 (multiplicity 1)
O: 0.3333 0.6667 0.8432 (multiplicity 1)

[13]
DFT (PBE) results for crystalline TaBeCdCo at its relaxed geometry.

Energy above the most stable polymorph in this dataset   0.223 eV per atom
Energy   -88.77 eV per cell

abc: 6.1288 6.1288 6.1288
angles: 90.00 90.00 90.00
Space group F-43m (No. 216)
Unique sites:
Ta: 0.0000 0.0000 0.0000 (multiplicity 4)
Be: 0.0000 0.0000 0.5000 (multiplicity 4)
Cd: 0.2500 0.2500 0.7500 (multiplicity 4)
Co: 0.2500 0.2500 0.2500 (multiplicity 4)

[14]
DFT (PBE) results for crystalline BaGaOs at its relaxed geometry.

Energy   -55.99 eV per cell

abc: 6.7667 6.7667 6.7667
angles: 90.00 90.00 90.00
Space group F-43m (No. 216)
Unique sites:
Ba: 0.0000 0.0000 0.0000 (multiplicity 4)
Ga: 0.0000 0.0000 0.5000 (multiplicity 4)
Os: 0.2500 0.2500 0.2500 (multiplicity 4)

[15]
DFT (PBE) results for crystalline GdHoNO at its relaxed geometry.

Energy above the most stable polymorph in this dataset   0.418 eV per atom
Energy   -59.47 eV per cell

abc: 4.3999 4.3999 7.9513
angles: 90.00 90.00 90.00
Space group P4/nmm (No. 129, origin choice 2)
Unique sites:
Gd: 0.2500 0.2500 0.0956 (multiplicity 2)
Ho: 0.2500 0.7500 0.5000 (multiplicity 2)
N: 0.2500 0.2500 0.5765 (multiplicity 2)
O: 0.2500 0.7500 0.0000 (multiplicity 2)

[16]
DFT (PBE) results for crystalline LuCuMo at its relaxed geometry.

Energy relative to the elements   1208.1 meV/atom
Energy above the most stable polymorph in this dataset   0.219 eV per atom
Energy   -61.86 eV per cell

abc: 6.3648 6.3648 6.3648
angles: 90.00 90.00 90.00
Space group F-43m (No. 216)
Unique sites:
Lu: 0.0000 0.0000 0.0000 (multiplicity 4)
Cu: 0.2500 0.2500 0.7500 (multiplicity 4)
Mo: 0.2500 0.2500 0.2500 (multiplicity 4)

[17]
DFT (PBE) results for crystalline Li4TbSbO6 at its relaxed geometry.

Energy   -144.52 eV per cell

abc: 5.4195 9.5596 5.2124
angles: 90.00 108.84 90.00
Space group C2 (No. 5)
Unique sites:
Li: 0.0000 0.0000 0.0000 (multiplicity 2)
Li: 0.0000 0.1426 0.5000 (multiplicity 2)
Li: 0.0000 0.3179 0.0000 (multiplicity 2)
Li: 0.0000 0.6132 0.0000 (multiplicity 2)
Tb: 0.0000 0.8077 0.5000 (multiplicity 2)
Sb: 0.0000 0.4761 0.5000 (multiplicity 2)
O: 0.2197 0.3262 0.7398 (multiplicity 4)
O: 0.2275 0.6257 0.7402 (multiplicity 4)
O: 0.2320 0.4789 0.2663 (multiplicity 4)

[18]
DFT (PBE) results for crystalline PrSm2In3AgPt2 at its relaxed geometry.

Energy   -89.10 eV per cell

abc: 4.0035 13.5741 7.8297
angles: 90.00 90.00 90.00
Space group Amm2 (No. 38)
Unique sites:
Pr: 0.0000 0.0000 0.0000 (multiplicity 2)
Sm: 0.0000 0.2070 0.6207 (multiplicity 4)
In: 0.5000 0.0000 0.6737 (multiplicity 2)
In: 0.5000 0.1308 0.2840 (multiplicity 4)
Ag: 0.0000 0.0000 0.4145 (multiplicity 2)
Pt: 0.5000 0.1676 0.9134 (multiplicity 4)

[19]
DFT (PBE) results for crystalline SmBPd3 at its relaxed geometry.

Energy   -30.24 eV per cell

abc: 4.0445 4.0445 4.9738
angles: 90.00 90.00 90.00
Space group P4mm (No. 99)
Unique sites:
Sm: 0.0000 0.0000 0.0000 (multiplicity 1)
B: 0.5000 0.5000 0.6849 (multiplicity 1)
Pd: 0.0000 0.5000 0.5104 (multiplicity 2)
Pd: 0.5000 0.5000 0.1093 (multiplicity 1)

[20]
DFT (PBE) results for crystalline Cu2Ag3 at its relaxed geometry.

Energy relative to the elements   92.2 meV/atom
Energy above the most stable polymorph in this dataset   0.060 eV per atom
Energy   -92.67 eV per cell

abc: 2.8490 2.8490 66.6699
angles: 90.00 90.00 120.00
Space group R-3m (No. 166, hexagonal axes)
Unique sites:
Cu: 0.0000 0.0000 0.1526 (multiplicity 6)
Cu: 0.0000 0.0000 0.2458 (multiplicity 6)
Ag: 0.0000 0.0000 0.0553 (multiplicity 6)
Ag: 0.0000 0.0000 0.3518 (multiplicity 6)
Ag: 0.0000 0.0000 0.4533 (multiplicity 6)